# 1
# Na2Ac3Pb4

An optimized crystal structure of Na2Ac3Pb4 (GGA-PBE, Alexandria via LeMat-Bulk).

Cell lengths 5.052, 7.040, 9.940 Å; angles 109.43, 90.00, 111.03 degrees
Atoms (fractional coordinates):
Na (0.685, 0.370, 0.360)
Na (0.315, 0.630, 0.640)
Ac (0.629, 0.257, 0.692)
Ac (0.000, 0.000, 0.000)
Ac (0.371, 0.743, 0.308)
Pb (0.705, 0.411, 0.064)
Pb (0.295, 0.589, 0.936)
Pb (0.934, 0.867, 0.609)
Pb (0.066, 0.133, 0.391)

Summary:
Magnetization in μB per cell: 0.00
E_tot in eV per atom: -3.68
Crystal system: monoclinic
ρ in g cm⁻³: 8.38
Calculated volume in Å³/cell: 308.3

=====

# 2
# CsNbTlF6

An optimized crystal structure of CsNbTlF6 (GGA-PBE, Alexandria via LeMat-Bulk).

Cell lengths 6.462, 6.464, 5.008 Å; angles 89.99, 89.95, 59.93 degrees
Last column: magnetic moment on the atom in μB.
Atoms (fractional coordinates):
Cs (0.000, 0.000, 0.872)  0.00
Nb (0.333, 0.333, 0.542)  0.84
Tl (0.668, 0.667, 0.338)  0.01
F (0.154, 0.204, 0.336)  0.01
F (0.470, 0.023, 0.748)  0.01
F (0.508, 0.470, 0.746)  0.01
F (0.022, 0.508, 0.748)  0.01
F (0.203, 0.641, 0.335)  0.01
F (0.641, 0.154, 0.335)  0.01

Summary:
Magnetization in μB per cell: 1.00
E_tot in eV per atom: -5.45
Crystal system: triclinic
Raw formation energy in meV/atom: -2723
ρ in g cm⁻³: 4.99
Calculated volume in Å³/cell: 181.0

=====

# 3
# Sm6BiSb3Te2

An optimized crystal structure of Sm6BiSb3Te2 (GGA-PBE, Alexandria via LeMat-Bulk).

Cell lengths 4.483, 8.963, 10.027 Å; angles 103.09, 102.92, 90.00 degrees
Atoms (fractional coordinates):
Sm (0.332, 0.923, 0.664)
Sm (0.664, 0.589, 0.328)
Sm (0.668, 0.077, 0.336)
Sm (0.998, 0.253, 0.996)
Sm (0.002, 0.747, 0.004)
Sm (0.336, 0.411, 0.672)
Bi (0.500, 0.000, 0.000)
Sb (0.500, 0.500, 0.000)
Sb (0.833, 0.167, 0.666)
Sb (0.167, 0.833, 0.334)
Te (0.833, 0.665, 0.665)
Te (0.167, 0.335, 0.335)

Summary:
Magnetization in μB per cell: 0.00
E_tot in eV per atom: -5.48
Crystal system: monoclinic
Raw formation energy in meV/atom: -1242
ρ in g cm⁻³: 7.53
Calculated volume in Å³/cell: 381.9

=====

# 4
# NaPaSe3

An optimized crystal structure of NaPaSe3 (GGA-PBE, Alexandria via LeMat-Bulk).

Cell lengths 5.466, 7.592, 8.632 Å; angles 98.94, 90.00, 111.10 degrees
Atoms (fractional coordinates):
Na (0.644, 0.287, 0.416)
Na (0.356, 0.713, 0.584)
Pa (0.871, 0.742, 0.092)
Pa (0.129, 0.258, 0.908)
Se (0.844, 0.688, 0.387)
Se (0.330, 0.660, 0.053)
Se (0.934, 0.868, 0.804)
Se (0.156, 0.312, 0.613)
Se (0.066, 0.132, 0.196)
Se (0.670, 0.340, 0.947)

Summary:
Magnetization in μB per cell: 0.00
E_tot in eV per atom: -5.47
Crystal system: monoclinic
Raw formation energy in meV/atom: -1213
ρ in g cm⁻³: 4.95
Calculated volume in Å³/cell: 329.5

=====

# 5
# NbTl2Cl

An optimized crystal structure of NbTl2Cl (GGA-PBE, Alexandria via LeMat-Bulk).

Cell lengths 5.201, 5.201, 5.201 Å; angles 60.00, 60.00, 60.00 degrees
Atoms (fractional coordinates):
Tl (0.250, 0.250, 0.250)
Tl (0.750, 0.750, 0.750)
Nb (0.500, 0.500, 0.500)
Cl (0.000, 0.000, 0.000)

Summary:
Magnetization in μB per cell: 0.00
E_tot in eV per atom: -3.47
Crystal system: cubic
Raw formation energy in meV/atom: 692
ρ in g cm⁻³: 8.97
Calculated volume in Å³/cell: 99.5

=====

# 6
# HfUGe

An optimized crystal structure of HfUGe (GGA-PBE, Alexandria via LeMat-Bulk).

Cell lengths 3.046, 4.886, 4.886 Å; angles 120.00, 90.00, 90.00 degrees
Last column: magnetic moment on the atom in μB.
Atoms (fractional coordinates):
Hf (0.500, 0.667, 0.333)  0.09
Ge (0.500, 0.333, 0.667)  -0.02
U (0.000, 0.000, 0.000)  1.88

Summary:
Magnetization in μB per cell: 2.17
E_tot in eV per atom: -8.57
Crystal system: hexagonal
ρ in g cm⁻³: 12.90
Calculated volume in Å³/cell: 63.0

=====

# 7
# Ce7Tl2In2

An optimized crystal structure of Ce7Tl2In2 (GGA-PBE, Alexandria via LeMat-Bulk).

Cell lengths 5.496, 7.697, 7.697 Å; angles 87.06, 77.64, 77.64 degrees
Last column: magnetic moment on the atom in μB.
Atoms (fractional coordinates):
Ce (0.118, 0.554, 0.114)  0.46
Ce (0.882, 0.886, 0.446)  0.46
Ce (0.882, 0.446, 0.886)  0.46
Ce (0.118, 0.114, 0.554)  0.46
Ce (0.177, 0.625, 0.625)  0.58
Ce (0.000, 0.000, 0.000)  0.77
Ce (0.823, 0.375, 0.375)  0.58
Tl (0.500, 0.767, 0.233)  -0.01
Tl (0.500, 0.233, 0.767)  -0.01
In (0.553, 0.816, 0.816)  0.00
In (0.447, 0.184, 0.184)  0.00

Summary:
Magnetization in μB per cell: 4.33
E_tot in eV per atom: -4.81
Crystal system: monoclinic
ρ in g cm⁻³: 8.65
Calculated volume in Å³/cell: 310.7

=====

# 8
# AsP2Rh

An optimized crystal structure of AsP2Rh (GGA-PBE, Alexandria via LeMat-Bulk).

Cell lengths 4.328, 4.328, 4.328 Å; angles 70.26, 70.26, 108.92 degrees
Atoms (fractional coordinates):
As (0.000, 0.500, 0.500)
P (0.000, 0.000, 0.000)
P (0.500, 0.500, 0.000)
Rh (0.500, 0.000, 0.500)

Summary:
Magnetization in μB per cell: 0.00
E_tot in eV per atom: -5.77
Crystal system: tetragonal
ρ in g cm⁻³: 6.38
Calculated volume in Å³/cell: 62.4

=====

# 9
# BaAcSbTe

An optimized crystal structure of BaAcSbTe (GGA-PBE, Alexandria via LeMat-Bulk).

Cell lengths 4.888, 4.888, 8.571 Å; angles 73.43, 73.43, 60.00 degrees
Atoms (fractional coordinates):
Ba (0.503, 0.503, 0.491)
Ac (0.996, 0.996, 0.012)
Sb (0.256, 0.256, 0.232)
Te (0.745, 0.745, 0.765)

Summary:
Magnetization in μB per cell: 0.00
E_tot in eV per atom: -4.77
Crystal system: trigonal
Raw formation energy in meV/atom: -1450
ρ in g cm⁻³: 6.08
Calculated volume in Å³/cell: 167.5

=====

# 10
# SrSi

An optimized crystal structure of SrSi (GGA-PBE, Alexandria via LeMat-Bulk).

Cell lengths 8.874, 8.874, 8.874 Å; angles 90.00, 90.00, 90.00 degrees
Last column: magnetic moment on the atom in μB.
Atoms (fractional coordinates):
Sr (0.250, 0.500, 0.000)  0.14
Sr (0.750, 0.500, 0.000)  0.14
Sr (0.500, 0.000, 0.250)  0.14
Sr (0.500, 0.000, 0.750)  0.14
Sr (0.000, 0.250, 0.500)  0.14
Sr (0.000, 0.750, 0.500)  0.14
Si (0.250, 0.000, 0.500)  0.47
Si (0.750, 0.000, 0.500)  0.47
Si (0.000, 0.500, 0.250)  0.47
Si (0.000, 0.500, 0.750)  0.47
Si (0.500, 0.250, 0.000)  0.47
Si (0.500, 0.750, 0.000)  0.47

Summary:
Magnetization in μB per cell: 11.92
E_tot in eV per atom: -2.86
Crystal system: cubic
Raw formation energy in meV/atom: 692
ρ in g cm⁻³: 1.65
Calculated volume in Å³/cell: 698.7

=====

# 11
# CeTiSi2Ru

An optimized crystal structure of CeTiSi2Ru (GGA-PBE, Alexandria via LeMat-Bulk).

Cell lengths 4.038, 4.038, 6.139 Å; angles 109.20, 109.20, 90.00 degrees
Last column: magnetic moment on the atom in μB.
Atoms (fractional coordinates):
Ce (0.000, 0.000, 0.000)  0.45
Ti (0.250, 0.750, 0.500)  0.04
Si (0.612, 0.612, 0.223)  0.00
Si (0.388, 0.388, 0.777)  0.00
Ru (0.750, 0.250, 0.500)  0.00

Summary:
Magnetization in μB per cell: 0.56
E_tot in eV per atom: -7.58
Crystal system: tetragonal
Raw formation energy in meV/atom: -794
ρ in g cm⁻³: 6.47
Calculated volume in Å³/cell: 88.6

=====

# 12
# Ag2Hg

An optimized crystal structure of Ag2Hg (GGA-PBE, Alexandria via LeMat-Bulk).

Cell lengths 3.147, 4.028, 5.253 Å; angles 112.55, 107.43, 90.00 degrees
Atoms (fractional coordinates):
Ag (0.670, 0.670, 0.341)
Ag (0.330, 0.330, 0.659)
Hg (0.000, 0.000, 0.000)

Summary:
Magnetization in μB per cell: 0.00
E_tot in eV per atom: -1.94
Crystal system: orthorhombic
ρ in g cm⁻³: 11.88
Calculated volume in Å³/cell: 58.2

=====

# 13
# SrPb5

An optimized crystal structure of SrPb5 (GGA-PBE, Alexandria via LeMat-Bulk).

Cell lengths 6.606, 6.606, 6.606 Å; angles 60.00, 60.00, 60.00 degrees
Atoms (fractional coordinates):
Sr (0.000, 0.000, 0.000)
Pb (0.250, 0.250, 0.250)
Pb (0.626, 0.626, 0.626)
Pb (0.626, 0.626, 0.123)
Pb (0.123, 0.626, 0.626)
Pb (0.626, 0.123, 0.626)

Summary:
Magnetization in μB per cell: 0.00
E_tot in eV per atom: -3.51
Crystal system: cubic
ρ in g cm⁻³: 9.15
Calculated volume in Å³/cell: 203.9

=====

# 14
# BaTaOs2

An optimized crystal structure of BaTaOs2 (GGA-PBE, Alexandria via LeMat-Bulk).

Cell lengths 2.994, 2.994, 9.536 Å; angles 90.00, 90.00, 111.92 degrees
Atoms (fractional coordinates):
Os (0.000, 0.000, 0.042)
Os (0.000, 0.000, 0.458)
Ba (0.500, 0.500, 0.750)
Ta (0.500, 0.500, 0.250)

Summary:
Magnetization in μB per cell: 0.00
E_tot in eV per atom: -8.37
Crystal system: orthorhombic
ρ in g cm⁻³: 14.63
Calculated volume in Å³/cell: 79.3

=====

# 15
# CaTaI2

An optimized crystal structure of CaTaI2 (GGA-PBE, Alexandria via LeMat-Bulk).

Cell lengths 5.433, 5.433, 9.945 Å; angles 74.15, 74.15, 90.00 degrees
Last column: magnetic moment on the atom in μB.
Atoms (fractional coordinates):
I (0.657, 0.125, 0.250)  0.02
I (0.093, 0.625, 0.250)  0.02
I (0.375, 0.343, 0.750)  0.02
I (0.875, 0.907, 0.750)  0.02
Ca (0.500, 0.500, 0.000)  0.11
Ca (0.250, 0.750, 0.500)  0.11
Ta (0.000, 0.000, 0.000)  1.76
Ta (0.750, 0.250, 0.500)  1.77

Summary:
Magnetization in μB per cell: 7.13
E_tot in eV per atom: -3.87
Crystal system: tetragonal
Raw formation energy in meV/atom: 370
ρ in g cm⁻³: 5.82
Calculated volume in Å³/cell: 270.7

=====

# 16
# CsRb2ICl4

An optimized crystal structure of CsRb2ICl4 (GGA-PBE, Alexandria via LeMat-Bulk).

Cell lengths 9.925, 9.925, 9.343 Å; angles 114.70, 114.70, 99.53 degrees
Atoms (fractional coordinates):
Cs (0.000, 0.500, 0.000)
Cs (0.000, 0.500, 0.500)
Rb (0.500, 0.000, 0.000)
Rb (0.500, 0.000, 0.500)
Rb (0.000, 0.000, 0.500)
Rb (0.500, 0.500, 0.000)
I (0.500, 0.500, 0.500)
I (0.000, 0.000, 0.000)
Cl (0.301, 0.718, 0.007)
Cl (0.782, 0.199, 0.493)
Cl (0.218, 0.801, 0.507)
Cl (0.699, 0.282, 0.993)
Cl (0.815, 0.828, 0.046)
Cl (0.672, 0.685, 0.454)
Cl (0.328, 0.315, 0.546)
Cl (0.185, 0.172, 0.954)

Summary:
Magnetization in μB per cell: 0.00
E_tot in eV per atom: -2.94
Crystal system: monoclinic
Raw formation energy in meV/atom: -1474
ρ in g cm⁻³: 2.75
Calculated volume in Å³/cell: 692.0

=====

# 17
# Y2ScPb

An optimized crystal structure of Y2ScPb (GGA-PBE, Alexandria via LeMat-Bulk).

Cell lengths 5.932, 5.932, 5.841 Å; angles 79.15, 79.15, 34.37 degrees
Atoms (fractional coordinates):
Pb (0.250, 0.250, 0.250)
Sc (0.750, 0.750, 0.750)
Y (0.989, 0.989, 0.003)
Y (0.511, 0.511, 0.497)

Summary:
Magnetization in μB per cell: 0.00
E_tot in eV per atom: -5.90
Crystal system: monoclinic
ρ in g cm⁻³: 6.28
Calculated volume in Å³/cell: 113.8

=====

# 18
# SiNiPt

An optimized crystal structure of SiNiPt (GGA-PBE, Alexandria via LeMat-Bulk).

Cell lengths 4.981, 4.980, 2.919 Å; angles 72.97, 72.95, 34.08 degrees
Atoms (fractional coordinates):
Ni (0.026, 0.026, 0.974)
Pt (0.319, 0.319, 0.681)
Si (0.654, 0.654, 0.346)

Summary:
Magnetization in μB per cell: 0.00
E_tot in eV per atom: -6.19
Crystal system: tetragonal
Raw formation energy in meV/atom: -443
ρ in g cm⁻³: 12.12
Calculated volume in Å³/cell: 38.6

=====

# 19
# AlH2Ir2

An optimized crystal structure of AlH2Ir2 (GGA-PBE, Alexandria via LeMat-Bulk).

Cell lengths 5.898, 5.898, 2.977 Å; angles 90.00, 90.00, 90.00 degrees
Atoms (fractional coordinates):
H (0.386, 0.886, 0.000)
H (0.886, 0.614, 0.000)
H (0.614, 0.114, 0.000)
H (0.114, 0.386, 0.000)
Ir (0.278, 0.778, 0.500)
Ir (0.778, 0.722, 0.500)
Ir (0.722, 0.222, 0.500)
Ir (0.222, 0.278, 0.500)
Al (0.000, 0.000, 0.000)
Al (0.500, 0.500, 0.000)

Summary:
Magnetization in μB per cell: 0.00
E_tot in eV per atom: -5.76
Crystal system: tetragonal
ρ in g cm⁻³: 13.26
Calculated volume in Å³/cell: 103.6

=====

# 20
# AcHfGeO6

An optimized crystal structure of AcHfGeO6 (GGA-PBE, Alexandria via LeMat-Bulk).

Cell lengths 5.338, 5.338, 10.609 Å; angles 90.00, 90.00, 120.00 degrees
Last column: magnetic moment on the atom in μB.
Atoms (fractional coordinates):
Ac (0.000, 0.000, 0.000)  0.01
Ac (0.000, 0.000, 0.500)  0.01
Hf (0.333, 0.667, 0.250)  -0.01
Hf (0.667, 0.333, 0.750)  -0.01
Ge (0.667, 0.333, 0.250)  -0.01
Ge (0.333, 0.667, 0.750)  -0.01
O (0.635, 0.613, 0.146)  0.15
O (0.978, 0.365, 0.146)  0.15
O (0.365, 0.978, 0.646)  0.15
O (0.022, 0.635, 0.854)  0.15
O (0.387, 0.365, 0.354)  0.15
O (0.978, 0.613, 0.354)  0.15
O (0.613, 0.978, 0.854)  0.15
O (0.635, 0.022, 0.354)  0.15
O (0.022, 0.387, 0.646)  0.15
O (0.387, 0.022, 0.146)  0.15
O (0.613, 0.635, 0.646)  0.15
O (0.365, 0.387, 0.854)  0.15

Summary:
Magnetization in μB per cell: 2.09
E_tot in eV per atom: -7.97
Crystal system: trigonal
Raw formation energy in meV/atom: -2588
ρ in g cm⁻³: 7.28
Calculated volume in Å³/cell: 261.8

=====

# 21
# Tb3Er2Tm6Pb

An optimized crystal structure of Tb3Er2Tm6Pb (GGA-PBE, Alexandria via LeMat-Bulk).

Cell lengths 6.045, 6.045, 11.545 Å; angles 95.05, 95.05, 120.02 degrees
Atoms (fractional coordinates):
Tb (0.167, 0.833, 0.500)
Tb (0.833, 0.167, 0.500)
Tb (0.500, 0.500, 0.500)
Er (0.334, 0.666, 0.000)
Er (0.666, 0.334, 0.000)
Tm (0.919, 0.589, 0.753)
Tm (0.752, 0.752, 0.249)
Tm (0.081, 0.411, 0.247)
Tm (0.589, 0.919, 0.753)
Tm (0.248, 0.248, 0.751)
Tm (0.411, 0.081, 0.247)
Pb (0.000, 0.000, 0.000)

Summary:
Magnetization in μB per cell: 0.03
E_tot in eV per atom: -4.51
Crystal system: monoclinic
ρ in g cm⁻³: 9.38
Calculated volume in Å³/cell: 359.6

=====

# 22
# SnSbO4

An optimized crystal structure of SnSbO4 (GGA-PBE, Alexandria via LeMat-Bulk).

Cell lengths 4.888, 4.888, 6.656 Å; angles 90.00, 90.00, 89.44 degrees
Atoms (fractional coordinates):
Sb (0.500, 0.500, 0.250)
Sb (0.500, 0.500, 0.750)
Sn (0.000, 0.000, 0.497)
Sn (0.000, 0.000, 0.003)
O (0.306, 0.694, 0.477)
O (0.694, 0.306, 0.023)
O (0.694, 0.306, 0.477)
O (0.306, 0.694, 0.023)
O (0.816, 0.817, 0.750)
O (0.199, 0.199, 0.250)
O (0.801, 0.801, 0.250)
O (0.183, 0.184, 0.750)

Summary:
Magnetization in μB per cell: 0.00
E_tot in eV per atom: -6.10
Crystal system: orthorhombic
Raw formation energy in meV/atom: -1435
ρ in g cm⁻³: 6.36
Calculated volume in Å³/cell: 159.0

=====

# 23
# K2Rb2S

An optimized crystal structure of K2Rb2S (GGA-PBE, Alexandria via LeMat-Bulk).

Cell lengths 8.559, 8.559, 7.651 Å; angles 90.00, 90.00, 90.00 degrees
Atoms (fractional coordinates):
K (0.311, 0.811, 0.000)
K (0.811, 0.689, 0.000)
K (0.689, 0.189, 0.000)
K (0.189, 0.311, 0.000)
S (0.000, 0.000, 0.000)
S (0.500, 0.500, 0.000)
Rb (0.189, 0.689, 0.500)
Rb (0.689, 0.811, 0.500)
Rb (0.811, 0.311, 0.500)
Rb (0.311, 0.189, 0.500)

Summary:
Magnetization in μB per cell: 0.00
E_tot in eV per atom: -2.03
Crystal system: tetragonal
Raw formation energy in meV/atom: -376
ρ in g cm⁻³: 1.67
Calculated volume in Å³/cell: 560.4

=====

# 24
# Pm3Sn3Au

An optimized crystal structure of Pm3Sn3Au (GGA-PBE, Alexandria via LeMat-Bulk).

Cell lengths 4.644, 6.219, 14.559 Å; angles 83.99, 80.82, 68.07 degrees
Atoms (fractional coordinates):
Pm (0.527, 0.325, 0.620)
Pm (0.473, 0.675, 0.380)
Pm (0.265, 0.241, 0.229)
Pm (0.735, 0.759, 0.771)
Pm (0.400, 0.277, 0.924)
Pm (0.600, 0.723, 0.076)
Sn (0.861, 0.734, 0.544)
Sn (0.139, 0.266, 0.456)
Sn (0.125, 0.825, 0.924)
Sn (0.875, 0.175, 0.076)
Sn (0.985, 0.800, 0.229)
Sn (0.015, 0.200, 0.771)
Au (0.768, 0.080, 0.385)
Au (0.232, 0.920, 0.615)

Summary:
Magnetization in μB per cell: 0.00
E_tot in eV per atom: -5.00
Crystal system: monoclinic
ρ in g cm⁻³: 8.53
Calculated volume in Å³/cell: 384.6